Entry 1:
Compound: ErMnGe
Source: Alexandria via LeMat-Bulk
Functional: PBE-GGA
Structure: relaxed

a b c (Å): 6.9824 4.0599 7.9097
angles (deg): 90.00 90.00 90.00
Space group Pnma (No. 62)
Inequivalent atoms, fractional coordinates:
Er: 0.0263 0.2500 0.1815 (multiplicity 4)
Mn: 0.1325 0.2500 0.5552 (multiplicity 4)
Ge: 0.2266 0.7500 0.3803 (multiplicity 4)

Values from the calculation:
Energy of formation from the pure elements, kJ/mol of formula units: -145

=====

Entry 2:
Compound: ThBeCu11
Source: Alexandria via LeMat-Bulk
Functional: PBE-GGA
Structure: relaxed

a b c (Å): 4.7925 11.8669 6.4509
angles (deg): 90.00 109.32 90.00
Space group C2/m (No. 12)
Inequivalent atoms, fractional coordinates:
Th: 0.0000 0.0000 0.0000 (multiplicity 2)
Be: 0.0000 0.5000 0.5000 (multiplicity 2)
Cu: 0.0000 0.0000 0.5000 (multiplicity 2)
Cu: 0.1006 0.3896 0.2338 (multiplicity 8)
Cu: 0.1670 0.1772 0.3566 (multiplicity 8)
Cu: 0.2500 0.2500 0.0000 (multiplicity 4)

Values from the calculation:
Energy of formation from the pure elements, kJ/mol of formula units: -99

=====

Entry 3:
Compound: MgBeOs2Pd
Source: Alexandria via LeMat-Bulk
Functional: PBE-GGA
Structure: relaxed

a b c (Å): 4.5007 4.5007 4.0247
angles (deg): 90.00 90.00 90.00
Space group P4/mmm (No. 123)
Inequivalent atoms, fractional coordinates:
Mg: 0.0000 0.0000 0.0000 (multiplicity 1)
Be: 0.0000 0.0000 0.5000 (multiplicity 1)
Os: 0.0000 0.5000 0.0000 (multiplicity 2)
Pd: 0.5000 0.5000 0.5000 (multiplicity 1)

Values from the calculation:
Energy of formation from the pure elements, kJ/mol of formula units: 974

=====

Entry 4:
Compound: VNi2HRh
Source: Alexandria via LeMat-Bulk
Functional: PBE-GGA
Structure: relaxed

a b c (Å): 3.6439 3.6439 3.8825
angles (deg): 90.00 90.00 90.00
Space group P4/mmm (No. 123)
Inequivalent atoms, fractional coordinates:
V: 0.0000 0.0000 0.0000 (multiplicity 1)
Ni: 0.0000 0.5000 0.5000 (multiplicity 2)
H: 0.5000 0.5000 0.5000 (multiplicity 1)
Rh: 0.5000 0.5000 0.0000 (multiplicity 1)

Values from the calculation:
Total energy, eV per atom: -6.436

=====

Entry 5:
Compound: HfS3
Source: Alexandria via LeMat-Bulk
Functional: PBE-GGA
Structure: relaxed

a b c (Å): 7.8637 7.8637 3.4036
angles (deg): 90.00 90.00 120.00
Space group P6_3/mmc (No. 194)
Inequivalent atoms, fractional coordinates:
Hf: 0.3333 0.6667 0.2500 (multiplicity 2)
S: 0.1948 0.3897 0.7500 (multiplicity 6)

Values from the calculation:
Formation energy from raw total energies, eV/atom: -0.589

=====

Entry 6:
Compound: CePaCo2P2
Source: Alexandria via LeMat-Bulk
Functional: PBE-GGA
Structure: relaxed

a b c (Å): 3.8963 3.8963 7.7285
angles (deg): 90.00 90.00 120.00
Space group P-3m1 (No. 164)
Inequivalent atoms, fractional coordinates:
Ce: 0.0000 0.0000 0.0000 (multiplicity 1)
Pa: 0.0000 0.0000 0.5000 (multiplicity 1)
Co: 0.3333 0.6667 0.2810 (multiplicity 2)
P: 0.3333 0.6667 0.7586 (multiplicity 2)

Values from the calculation:
Energy of formation from the pure elements, kJ/mol of formula units: -654